! NdHoCuIr GGA-PBE relaxed; values from VASP
! Final energy ... -6.073 eV/atom
! ΔE to the lowest computed polymorph ... 0.10 eV per formula unit
! Total magnetic moment ... 0.0 Bohr magnetons per cell
! ΔH_f (0 K) ... -0.50 eV/atom
&SYSTEM
  ibrav = 0, nat = 4, ntyp = 4
/
ATOMIC_SPECIES
Nd 144.24 Nd.upf
Ho 164.93 Ho.upf
Cu 63.55 Cu.upf
Ir 192.22 Ir.upf
ATOMIC_POSITIONS angstrom
Nd 0.000 0.000 0.000
Ho 3.500 3.500 3.500
Cu 5.250 5.250 5.250
Ir 1.750 1.750 1.750
CELL_PARAMETERS angstrom
0.000 3.500 3.500
3.500 0.000 3.500
3.500 3.500 0.000